Record 1
# CeNdPu2N4, optimized geometry, DFT PBE
data_CeNdPu2N4
_chemical_formula_sum 'Ce1 Nd1 Pu2 N4'
_symmetry_space_group_name_H-M 'P 1 2/m 1'
_symmetry_Int_Tables_number 10
_cell_length_a 6.1178
_cell_length_b 3.5408
_cell_length_c 6.1399
_cell_angle_alpha 90.00
_cell_angle_beta 109.59
_cell_angle_gamma 90.00
loop_
_symmetry_equiv_pos_as_xyz
'x,y,z'
'-x,-y,-z'
'-x,y,-z'
'x,-y,z'
loop_
_atom_site_label
_atom_site_type_symbol
_atom_site_fract_x
_atom_site_fract_y
_atom_site_fract_z
Ce1 Ce 0.0000 0.0000 0.0000
Nd1 Nd 0.0000 0.5000 0.5000
Pu1 Pu 0.5000 0.0000 0.5000
Pu2 Pu 0.5000 0.5000 0.0000
N1 N 0.2668 0.5000 0.2505
N2 N 0.2736 0.0000 0.7630
# * energy: -83.47 eV/cell



Record 2
# Ce2Nd3PuN6, optimized geometry, DFT PBE
data_Ce2Nd3PuN6
_chemical_formula_sum 'Ce4 Nd6 Pu2 N12'
_symmetry_space_group_name_H-M 'C 1 2/m 1'
_symmetry_Int_Tables_number 12
_cell_length_a 6.2138
_cell_length_b 10.7615
_cell_length_c 6.2259
_cell_angle_alpha 90.00
_cell_angle_beta 109.48
_cell_angle_gamma 90.00
loop_
_symmetry_equiv_pos_as_xyz
'x,y,z'
'-x,-y,-z'
'-x,y,-z'
'x,-y,z'
'x+1/2,y+1/2,z'
'-x+1/2,-y+1/2,-z'
'-x+1/2,y+1/2,-z'
'x+1/2,-y+1/2,z'
loop_
_atom_site_label
_atom_site_type_symbol
_atom_site_fract_x
_atom_site_fract_y
_atom_site_fract_z
Ce1 Ce 0.0000 0.1666 0.0000
Nd1 Nd 0.0000 0.0000 0.5000
Nd2 Nd 0.0000 0.3333 0.5000
Pu1 Pu 0.0000 0.5000 0.0000
N1 N 0.2407 0.3363 0.2311
N2 N 0.2493 0.0000 0.2328
# * energy: -214.47 eV/cell